# MgCuW2

A relaxed MgCuW2 crystal (PBE-GGA, Alexandria via LeMat-Bulk).

Unit cell a=2.6786 b=2.6786 c=8.9301 alpha=90.00 beta=90.00 gamma=102.17
Last column: nearest neighbours and their distance in Å.
Atoms (fractional coordinates):
Mg1 0.0000 0.0000 0.0000  4 Mg 2.68, 4 W 2.91
Cu1 0.0000 0.0000 0.5000  4 Cu 2.68, 8 W 2.68-2.95
W1 0.5000 0.5000 0.2661  4 W 2.68, 4 Cu 2.68-2.95, 2 Mg 2.91
W2 0.5000 0.5000 0.7339  4 W 2.68, 4 Cu 2.68-2.95, 2 Mg 2.91

## Properties
M_tot ... 0.00 μB/f.u.
SG ... Cmmm, No. 65
Electronic total energy ... -29.87 eV per cell
Energy of formation ... 432 meV/atom

---

# Li2TlCdO

A relaxed Li2TlCdO crystal (PBE-GGA, Alexandria via LeMat-Bulk).

Unit cell a=4.1206 b=4.1206 c=5.5791 alpha=90.00 beta=90.00 gamma=90.00
Last column: nearest neighbours and their distance in Å.
Atoms (fractional coordinates):
Li1 0.0000 0.5000 0.0000  2 O 2.06
Li2 0.5000 0.0000 0.0000  2 O 2.06
Tl1 0.0000 0.0000 0.5000  2 O 2.79, 4 Cd 2.91
Cd1 0.5000 0.5000 0.5000  4 Tl 2.91
O1 0.0000 0.0000 0.0000  4 Li 2.06

## Properties
M_tot ... 0.00 μB/f.u.
ΔE_f (raw) ... -712 meV per atom
SG ... P4/mmm, No. 123
Electronic total energy ... -15.63 eV per cell

---

# MgFe2TeC

A relaxed MgFe2TeC crystal (PBE-GGA, Alexandria via LeMat-Bulk).

Unit cell a=4.6486 b=4.6486 c=4.3309 alpha=90.00 beta=90.00 gamma=90.00
Last column: nearest neighbours and their distance in Å.
Atoms (fractional coordinates):
Mg1 0.0000 0.0000 0.0000  8 Fe 3.18, 4 C 3.29
Fe1 0.0000 0.5000 0.5000  2 Te 2.32
Fe2 0.5000 0.0000 0.5000  2 Te 2.32
Te1 0.5000 0.5000 0.5000  2 C 2.17, 4 Fe 2.32
C1 0.5000 0.5000 0.0000  2 Te 2.17

## Properties
M_tot ... 0.40 μB/f.u.
ΔE_f (raw) ... 1853 meV per atom
SG ... P4/mmm, No. 123
Electronic total energy ... -21.62 eV per cell